Record 1
A plane-wave DFT calculation with PBE-GGA was carried out for a relaxed structure of TmMgCo2.

abc: 4.4075 4.4075 3.2303
angles: 90.00 90.00 90.00
With the nearest neighbours (Å) after each atom.
Fractional coordinates of all 4 atoms:
Tm (0.0000, 0.0000, 0.0000)  8 Co 2.73
Mg (0.5000, 0.5000, 0.0000)  8 Co 2.73
Co (0.0000, 0.5000, 0.5000)  4 Mg 2.73, 4 Tm 2.73
Co (0.5000, 0.0000, 0.5000)  4 Mg 2.73, 4 Tm 2.73

**Formation enthalpy at 0 K**: -4 meV/atom
**ρ**: 8.23 g/cm³
**SG**: P4/mmm
**Size of the total moment**: 0.000 μB per atom
**Energy above the most stable polymorph in this dataset**: 0.009 eV/atom
**DOS at the Fermi energy**: 0.8322 states/eV per atom
**Total DFT energy (no corrections)**: -20.29 eV/cell


Record 2
A plane-wave DFT calculation with PBE-GGA was carried out for a relaxed structure of Tm2Mg2Co.

abc: 10.4042 10.4042 10.4042
angles: 161.56 161.56 26.20
With the nearest neighbours (Å) after each atom.
Fractional coordinates of all 5 atoms:
Tm (0.0789, 0.0789, 0.0000)  4 Co 2.85
Tm (0.9211, 0.9211, 0.0000)  4 Co 2.85
Mg (0.3000, 0.3000, 0.0000)  8 Mg 3.11-3.33, 4 Tm 3.40
Mg (0.7000, 0.7000, 0.0000)  8 Mg 3.11-3.33, 4 Tm 3.40
Co (0.5000, 0.5000, 0.0000)  8 Tm 2.85

**Formation enthalpy at 0 K**: -160 meV/atom
**ρ**: 6.56 g/cm³
**SG**: I4/mmm
**Size of the total moment**: 0.162 μB per atom
**DOS at the Fermi energy**: 0.4629 states/eV per atom
**Total DFT energy (no corrections)**: -20.04 eV/cell


Record 3
A plane-wave DFT calculation with PBE-GGA was carried out for a relaxed structure of Tm5Mg2Co2.

abc: 9.3868 9.3868 7.1179
angles: 90.00 90.00 44.29
With the nearest neighbours (Å) after each atom.
Fractional coordinates of all 18 atoms:
Tm (0.0000, 0.0000, 0.0000)  4 Co 2.86-2.87
Tm (0.0744, 0.7036, 0.6835)  3 Co 2.81-2.90
Tm (0.2036, 0.5744, 0.1835)  3 Co 2.81-2.90
Tm (0.2964, 0.9256, 0.6835)  3 Co 2.81-2.90
Tm (0.4256, 0.7964, 0.1835)  3 Co 2.81-2.90
Tm (0.5000, 0.5000, 0.5000)  4 Co 2.86-2.87
Tm (0.5744, 0.2036, 0.8165)  3 Co 2.81-2.90
Tm (0.7036, 0.0744, 0.3165)  3 Co 2.81-2.90
Tm (0.7964, 0.4256, 0.8165)  3 Co 2.81-2.90
Tm (0.9256, 0.2964, 0.3165)  3 Co 2.81-2.90
Mg (0.2315, 0.2315, 0.0000)  6 Tm 3.31-3.34, 4 Mg 3.60-3.62
Mg (0.2685, 0.2685, 0.5000)  6 Tm 3.31-3.34, 4 Mg 3.60-3.62
Mg (0.7315, 0.7315, 0.5000)  6 Tm 3.31-3.34, 4 Mg 3.60-3.62
Mg (0.7685, 0.7685, 0.0000)  6 Tm 3.31-3.34, 4 Mg 3.60-3.62
Co (0.1126, 0.8874, 0.3877)  1 Co 2.26
Co (0.3874, 0.6126, 0.8877)  1 Co 2.26
Co (0.6126, 0.3874, 0.1123)  1 Co 2.26
Co (0.8874, 0.1126, 0.6123)  1 Co 2.26

**Formation enthalpy at 0 K**: -139 meV/atom
**ρ**: 7.67 g/cm³
**SG**: Cmce
**Size of the total moment**: 0.000 μB per atom
**DOS at the Fermi energy**: 0.8159 states/eV per atom
**Total DFT energy (no corrections)**: -82.01 eV/cell


Record 4
A plane-wave DFT calculation with PBE-GGA was carried out for a relaxed structure of Tm5Mg2Co.

abc: 5.7435 5.7435 16.3327
angles: 90.00 90.00 131.73
With the nearest neighbours (Å) after each atom.
Fractional coordinates of all 16 atoms:
Tm (0.0518, 0.9482, 0.6106)  1 Co 2.63
Tm (0.0518, 0.9482, 0.8894)  1 Co 2.63
Tm (0.3505, 0.6495, 0.5355)  9 Tm 3.34-3.65, 3 Mg 3.35-3.39
Tm (0.3505, 0.6495, 0.9645)  9 Tm 3.34-3.65, 3 Mg 3.35-3.39
Tm (0.4482, 0.5518, 0.7500)  1 Co 2.83
Tm (0.5518, 0.4482, 0.2500)  1 Co 2.83
Tm (0.6495, 0.3505, 0.0355)  9 Tm 3.34-3.65, 3 Mg 3.35-3.39
Tm (0.6495, 0.3505, 0.4645)  9 Tm 3.34-3.65, 3 Mg 3.35-3.39
Tm (0.9482, 0.0518, 0.1106)  1 Co 2.63
Tm (0.9482, 0.0518, 0.3894)  1 Co 2.63
Mg (0.2582, 0.7418, 0.1637)  2 Co 2.82, 1 Mg 2.82
Mg (0.2582, 0.7418, 0.3363)  2 Co 2.82, 1 Mg 2.82
Mg (0.7418, 0.2582, 0.6637)  2 Co 2.82, 1 Mg 2.82
Mg (0.7418, 0.2582, 0.8363)  2 Co 2.82, 1 Mg 2.82
Co (0.1783, 0.8217, 0.7500)  3 Tm 2.63-2.83, 4 Mg 2.82
Co (0.8217, 0.1783, 0.2500)  3 Tm 2.63-2.83, 4 Mg 2.82

**Formation enthalpy at 0 K**: 15 meV/atom
**ρ**: 7.86 g/cm³
**SG**: Cmcm
**Size of the total moment**: 0.000 μB per atom
**DOS at the Fermi energy**: 1.2324 states/eV per atom
**Total DFT energy (no corrections)**: -65.06 eV/cell


Record 5
A plane-wave DFT calculation with PBE-GGA was carried out for a relaxed structure of Tm8MgCo2.

abc: 7.7600 7.7600 5.2964
angles: 96.88 96.88 113.41
With the nearest neighbours (Å) after each atom.
Fractional coordinates of all 11 atoms:
Tm (0.1114, 0.1114, 0.7968)  2 Co 2.96, 4 Tm 3.16-3.30, 1 Mg 3.25
Tm (0.1682, 0.4343, 0.4250)  2 Co 2.78-2.83
Tm (0.2453, 0.7547, 0.0000)  2 Co 2.74
Tm (0.4343, 0.1682, 0.4250)  2 Co 2.78-2.83
Tm (0.5657, 0.8318, 0.5750)  2 Co 2.78-2.83
Tm (0.7547, 0.2453, 0.0000)  2 Co 2.74
Tm (0.8318, 0.5657, 0.5750)  2 Co 2.78-2.83
Tm (0.8886, 0.8886, 0.2032)  2 Co 2.96, 4 Tm 3.16-3.30, 1 Mg 3.25
Mg (0.5000, 0.5000, 0.0000)  12 Tm 3.25-3.59
Co (0.1896, 0.8104, 0.5000)  8 Tm 2.74-2.96
Co (0.8104, 0.1896, 0.5000)  8 Tm 2.74-2.96

**Formation enthalpy at 0 K**: -59 meV/atom
**ρ**: 8.68 g/cm³
**SG**: C2/m
**Size of the total moment**: 0.000 μB per atom
**DOS at the Fermi energy**: 1.0807 states/eV per atom
**Total DFT energy (no corrections)**: -52.23 eV/cell


Record 6
A plane-wave DFT calculation with PBE-GGA was carried out for a relaxed structure of Tm3MgCo.

abc: 8.8257 8.8257 3.6661
angles: 90.00 90.00 110.52
With the nearest neighbours (Å) after each atom.
Fractional coordinates of all 10 atoms:
Tm (0.1634, 0.4159, 0.5000)  2 Co 2.60
Tm (0.2032, 0.7968, 0.0000)  2 Co 2.60
Tm (0.4159, 0.1634, 0.5000)  2 Co 2.60
Tm (0.5841, 0.8366, 0.5000)  2 Co 2.60
Tm (0.7968, 0.2032, 0.0000)  2 Co 2.60
Tm (0.8366, 0.5841, 0.5000)  2 Co 2.60
Mg (0.0000, 0.0000, 0.5000)  8 Tm 3.44-3.47, 2 Mg 3.67
Mg (0.5000, 0.5000, 0.0000)  8 Tm 3.35, 2 Mg 3.67
Co (0.0000, 0.5000, 0.0000)  6 Tm 2.60
Co (0.5000, 0.0000, 0.0000)  6 Tm 2.60

**Formation enthalpy at 0 K**: -61 meV/atom
**ρ**: 7.33 g/cm³
**SG**: Cmmm
**Size of the total moment**: 0.000 μB per atom
**Energy above the most stable polymorph in this dataset**: 0.063 eV/atom
**DOS at the Fermi energy**: 0.7494 states/eV per atom
**Total DFT energy (no corrections)**: -44.84 eV/cell


Record 7
A plane-wave DFT calculation with PBE-GGA was carried out for a relaxed structure of Tm3MgCo.

abc: 9.2617 8.5539 5.7381
angles: 78.06 64.63 37.31
With the nearest neighbours (Å) after each atom.
Fractional coordinates of all 10 atoms:
Tm (0.1898, 0.5810, 0.4190)  2 Co 2.73
Tm (0.2060, 0.2060, 0.7940)  4 Co 2.95, 2 Tm 3.25
Tm (0.4190, 0.8102, 0.1898)  2 Co 2.73
Tm (0.5810, 0.1898, 0.8102)  2 Co 2.73
Tm (0.7940, 0.7940, 0.2060)  4 Co 2.95, 2 Tm 3.25
Tm (0.8102, 0.4190, 0.5810)  2 Co 2.73
Mg (0.2112, 0.7888, 0.7888)  1 Mg 2.69
Mg (0.7888, 0.2112, 0.2112)  1 Mg 2.69
Co (0.2500, 0.2500, 0.2500)  8 Tm 2.73-2.95
Co (0.7500, 0.7500, 0.7500)  8 Tm 2.73-2.95

**Formation enthalpy at 0 K**: -124 meV/atom
**ρ**: 8.12 g/cm³
**SG**: Fmmm
**Size of the total moment**: 0.023 μB per atom
**Energy above the most stable polymorph in this dataset**: 0.000 eV/atom
**DOS at the Fermi energy**: 0.9283 states/eV per atom
**Total DFT energy (no corrections)**: -45.47 eV/cell


Record 8
A plane-wave DFT calculation with PBE-GGA was carried out for a relaxed structure of Tm3Mg3Co.

abc: 9.9026 9.9026 9.9026
angles: 60.00 60.00 60.00
With the nearest neighbours (Å) after each atom.
Fractional coordinates of all 28 atoms:
Tm (0.0681, 0.0681, 0.6819)  2 Co 2.65
Tm (0.0681, 0.6819, 0.0681)  2 Co 2.65
Tm (0.0681, 0.6819, 0.6819)  2 Co 2.65
Tm (0.3181, 0.3181, 0.9319)  2 Co 2.65
Tm (0.3181, 0.9319, 0.3181)  2 Co 2.65
Tm (0.3181, 0.9319, 0.9319)  2 Co 2.65
Tm (0.6819, 0.0681, 0.0681)  2 Co 2.65
Tm (0.6819, 0.0681, 0.6819)  2 Co 2.65
Tm (0.6819, 0.6819, 0.0681)  2 Co 2.65
Tm (0.9319, 0.3181, 0.3181)  2 Co 2.65
Tm (0.9319, 0.3181, 0.9319)  2 Co 2.65
Tm (0.9319, 0.9319, 0.3181)  2 Co 2.65
Mg (0.0000, 0.5000, 0.5000)  6 Mg 3.01
Mg (0.2941, 0.2941, 0.2941)  6 Mg 3.01-3.21, 3 Tm 3.37
Mg (0.2941, 0.2941, 0.6178)  6 Mg 3.01-3.21, 3 Tm 3.37
Mg (0.2941, 0.6178, 0.2941)  6 Mg 3.01-3.21, 3 Tm 3.37
Mg (0.3822, 0.7059, 0.7059)  6 Mg 3.01-3.21, 3 Tm 3.37
Mg (0.5000, 0.0000, 0.5000)  6 Mg 3.01
Mg (0.5000, 0.5000, 0.0000)  6 Mg 3.01
Mg (0.5000, 0.5000, 0.5000)  6 Mg 3.01
Mg (0.6178, 0.2941, 0.2941)  6 Mg 3.01-3.21, 3 Tm 3.37
Mg (0.7059, 0.3822, 0.7059)  6 Mg 3.01-3.21, 3 Tm 3.37
Mg (0.7059, 0.7059, 0.3822)  6 Mg 3.01-3.21, 3 Tm 3.37
Mg (0.7059, 0.7059, 0.7059)  6 Mg 3.01-3.21, 3 Tm 3.37
Co (0.0000, 0.0000, 0.0000)  6 Tm 2.65
Co (0.0000, 0.0000, 0.5000)  6 Tm 2.65
Co (0.0000, 0.5000, 0.0000)  6 Tm 2.65
Co (0.5000, 0.0000, 0.0000)  6 Tm 2.65

**Formation enthalpy at 0 K**: -124 meV/atom
**ρ**: 6.18 g/cm³
**SG**: Fd-3m
**Size of the total moment**: 0.000 μB per atom
**DOS at the Fermi energy**: 0.8795 states/eV per atom
**Total DFT energy (no corrections)**: -104.70 eV/cell